## Ca2SbOs (GGA-PBE)

Data for a relaxed Ca2SbOs crystal.

Unit cell a=4.2794 b=3.3276 c=7.2521 alpha=62.77 beta=90.00 gamma=90.00
Closest atoms and distances in Å follow each position.
Element x y z (fractional)
Ca 0.0000 0.5153 0.4846  3 Ca 3.03-3.33, 4 Os 3.10-3.11, 4 Sb 3.20-3.21
Ca 0.0000 0.9847 0.0154  3 Ca 3.03-3.33, 4 Os 3.10-3.11, 4 Sb 3.20-3.21
Sb 0.5000 0.7500 0.7500  8 Ca 3.20-3.21, 2 Os 3.22, 2 Sb 3.33
Os 0.5000 0.2500 0.2500  8 Ca 3.10-3.11, 2 Sb 3.22, 2 Os 3.33

VASP energy: -4.79 eV per atom
Density of states at the Fermi level: 0.8153 states/eV per atom
Formation energy without anion corrections: 0.050 eV/atom